# 1
Computed, not measured: FeMoRh3 after structural relaxation at the PBE level of DFT.

Energy above the most stable polymorph in this dataset = 1261 meV/atom
Formation enthalpy at 0 K = 1333 meV per atom

Geometry as POSCAR:
```
FeMoRh3
1.0
4.6452 0.0000 0.0000
0.0000 4.6452 0.0000
0.0000 0.0000 4.6452
Fe Mo Rh
1 1 3
direct
0.0000 0.0000 0.0000 Fe
0.5000 0.5000 0.5000 Mo
0.0000 0.5000 0.5000 Rh
0.5000 0.0000 0.5000 Rh
0.5000 0.5000 0.0000 Rh
```

# 2
Computed, not measured: FeMoRh3 after structural relaxation at the PBE level of DFT.

Energy above the most stable polymorph in this dataset = 1232 meV/atom
Formation enthalpy at 0 K = 1304 meV per atom

Geometry as POSCAR:
```
FeMoRh3
1.0
4.3670 0.0000 0.0000
0.0000 4.3670 0.0000
0.0000 0.0000 4.3670
Fe Mo Rh
1 1 3
direct
0.0000 0.0000 0.0000 Fe
0.5000 0.5000 0.5000 Mo
0.0000 0.0000 0.5000 Rh
0.0000 0.5000 0.0000 Rh
0.5000 0.0000 0.0000 Rh
```

# 3
Computed, not measured: Fe2MoRh after structural relaxation at the PBE level of DFT.

Formation enthalpy at 0 K = 119 meV per atom

Geometry as POSCAR:
```
Fe2MoRh
1.0
1.3714 0.7918 8.3969
-1.3714 0.7918 8.3969
0.0000 -1.5835 8.3969
Fe Mo Rh
2 1 1
direct
0.0000 0.0000 0.0000 Fe
0.2590 0.2590 0.2590 Fe
0.7538 0.7538 0.7538 Mo
0.5078 0.5078 0.5078 Rh
```

# 4
Computed, not measured: FeMo2Rh after structural relaxation at the PBE level of DFT.

Energy above the most stable polymorph in this dataset = 2 meV/atom
Formation enthalpy at 0 K = 2 meV per atom

Geometry as POSCAR:
```
FeMo2Rh
1.0
3.8206 0.0000 0.0000
0.0000 3.8206 0.0000
0.0000 0.0000 3.8849
Fe Mo Rh
1 2 1
direct
0.0000 0.0000 0.0000 Fe
0.0000 0.5000 0.5000 Mo
0.5000 0.0000 0.5000 Mo
0.5000 0.5000 0.0000 Rh
```

# 5
Computed, not measured: Fe2MoRh after structural relaxation at the PBE level of DFT.

Formation enthalpy at 0 K = 74 meV per atom

Geometry as POSCAR:
```
Fe2MoRh
1.0
4.4210 -1.3449 0.0000
4.4210 1.3449 0.0000
-0.8009 0.0000 4.4868
Fe Mo Rh
2 1 1
direct
0.0000 0.0000 0.0000 Fe
0.7451 0.7451 0.2296 Fe
0.2428 0.2428 0.7368 Mo
0.4893 0.4893 0.4845 Rh
```

# 6
Computed, not measured: FeMo2Rh after structural relaxation at the PBE level of DFT.

Energy above the most stable polymorph in this dataset = 49 meV/atom
Formation enthalpy at 0 K = 50 meV per atom

Geometry as POSCAR:
```
FeMo2Rh
1.0
1.7097 -2.0730 0.0000
1.7097 2.0730 0.0000
0.0000 0.0000 8.1969
Fe Mo Rh
1 2 1
direct
0.0000 0.0000 0.0000 Fe
0.0000 0.0000 0.5206 Mo
0.5000 0.5000 0.2451 Mo
0.5000 0.5000 0.7704 Rh
```

# 7
Computed, not measured: Fe2MoRh after structural relaxation at the PBE level of DFT.

Formation enthalpy at 0 K = 109 meV per atom

Geometry as POSCAR:
```
Fe2MoRh
1.0
4.2313 0.0000 0.0000
0.0000 4.2313 0.0000
0.0000 0.0000 3.0030
Fe Mo Rh
2 1 1
direct
0.0000 0.5000 0.0000 Fe
0.5000 0.0000 0.0000 Fe
0.0000 0.0000 0.5000 Mo
0.5000 0.5000 0.5000 Rh
```

# 8
Computed, not measured: FeMo2Rh after structural relaxation at the PBE level of DFT.

Energy above the most stable polymorph in this dataset = 125 meV/atom
Formation enthalpy at 0 K = 126 meV per atom

Geometry as POSCAR:
```
FeMo2Rh
1.0
4.5289 -1.3698 0.0000
4.5289 1.3698 0.0000
-0.8191 0.0000 4.6524
Fe Mo Rh
1 2 1
direct
0.0000 0.0000 0.0000 Fe
0.2495 0.2495 0.7536 Mo
0.7505 0.7505 0.2464 Mo
0.5000 0.5000 0.5000 Rh
```

# 9
Computed, not measured: Fe2MoRh after structural relaxation at the PBE level of DFT.

Formation enthalpy at 0 K = 178 meV per atom

Geometry as POSCAR:
```
Fe2MoRh
1.0
1.3424 0.7750 8.7996
-1.3424 0.7750 8.7996
0.0000 -1.5501 8.7996
Fe Mo Rh
2 1 1
direct
0.2477 0.2477 0.2477 Fe
0.7523 0.7523 0.7523 Fe
0.0000 0.0000 0.0000 Mo
0.5000 0.5000 0.5000 Rh
```

# 10
Computed, not measured: Fe2MoRh after structural relaxation at the PBE level of DFT.

Formation enthalpy at 0 K = -6 meV per atom

Geometry as POSCAR:
```
Fe2MoRh
1.0
2.8571 0.0000 0.0000
0.0000 2.8571 0.0000
0.0000 0.0000 6.5460
Fe Mo Rh
2 1 1
direct
0.0000 0.0000 0.0000 Fe
0.5000 0.5000 0.2105 Fe
0.0000 0.0000 0.4606 Mo
0.5000 0.5000 0.7489 Rh
```

# 11
Computed, not measured: FeMo2Rh after structural relaxation at the PBE level of DFT.

Energy above the most stable polymorph in this dataset = 573 meV/atom
Formation enthalpy at 0 K = 573 meV per atom

Geometry as POSCAR:
```
FeMo2Rh
1.0
-1.8319 1.8319 9.3417
1.8319 -1.8319 9.3417
1.8319 1.8319 -9.3417
Fe Mo Rh
2 4 2
direct
0.0000 0.0000 0.0000 Fe
0.7500 0.2500 0.5000 Fe
0.1087 0.6250 0.9837 Mo
0.3750 0.3587 0.4837 Mo
0.6413 0.1250 0.0163 Mo
0.8750 0.8913 0.5163 Mo
0.2500 0.7500 0.5000 Rh
0.5000 0.5000 0.0000 Rh
```

# 12
Computed, not measured: FeMoRh4 after structural relaxation at the PBE level of DFT.

Energy above the most stable polymorph in this dataset = 354 meV/atom
Formation enthalpy at 0 K = 281 meV per atom

Geometry as POSCAR:
```
FeMoRh4
1.0
0.0000 3.5672 3.5672
3.5672 0.0000 3.5672
3.5672 3.5672 0.0000
Fe Mo Rh
1 1 4
direct
0.0000 0.0000 0.0000 Fe
0.7500 0.7500 0.7500 Mo
0.3747 0.3747 0.3747 Rh
0.3747 0.3747 0.8758 Rh
0.3747 0.8758 0.3747 Rh
0.8758 0.3747 0.3747 Rh
```

What size of the total moment values result from the calculations? In sequence: 3.63; 0.00; 5.12; 1.01; 4.14; 2.55; 4.99; 1.62; 5.70; 5.15; 5.67; 3.10 μB/cell.
What V values result from the calculations? In sequence: 100.2; 83.3; 54.7; 56.7; 53.4; 58.1; 53.8; 57.7; 54.9; 53.4; 125.4; 90.8 Å³ per cell.
What D(E_F) values result from the calculations? In sequence: 8.0; 9.1; 4.9; 3.7; 5.1; 3.1; 5.7; 4.3; 5.0; 3.2; 9.1; 7.0 states/eV per cell.